(1)
The following is a PBE-GGA calculation of an optimized crystal structure of CrHgN2, from Alexandria.

```
CrHgN2
1.0
-1.070 1.373 6.339
-1.124 -1.897 6.193
1.737 -0.311 6.332
Cr Hg N
1 1 2
direct
0.000 0.000 0.000
0.500 0.500 0.500
0.907 0.907 0.907
0.093 0.093 0.093
```

- Raw formation energy: 1370 meV per atom
- DFT total energy: -21.09 eV/f.u.

(2)
The following is a PBE-GGA calculation of an optimized crystal structure of Zr2SiPd8, from Alexandria.

```
Zr2SiPd8
1.0
-1.666 4.300 -0.342
-5.230 -2.109 -1.042
2.109 -1.084 7.373
Zr Si Pd
2 1 8
direct
0.811 0.311 0.623
0.189 0.689 0.377
0.500 0.000 0.000
0.369 0.611 0.738
0.631 0.874 0.262
0.813 0.813 0.626
0.000 0.246 0.000
0.187 0.187 0.374
0.369 0.126 0.738
0.631 0.389 0.262
0.000 0.754 0.000
```

- Raw formation energy: -698 meV per atom
- DFT total energy: -71.74 eV/f.u.

(3)
The following is a PBE-GGA calculation of an optimized crystal structure of GeTe3P, from Alexandria.

```
GeTe3P
1.0
-2.188 -4.866 0.159
3.858 -1.626 3.311
-2.970 1.472 4.184
P Ge Te
1 1 3
direct
0.500 0.500 0.500
0.000 0.000 0.000
0.000 0.500 0.000
0.000 0.000 0.500
0.500 0.000 0.000
```

- Raw formation energy: 936 meV per atom
- DFT total energy: -14.77 eV/f.u.

(4)
The following is a PBE-GGA calculation of an optimized crystal structure of BaYZn2, from Alexandria.

```
BaYZn2
1.0
6.332 0.041 0.000
3.037 5.557 0.000
-4.684 -2.799 3.213
Ba Y Zn
1 1 2
direct
0.500 0.500 0.000
0.750 0.250 0.500
0.000 0.000 0.000
0.250 0.750 0.500
```

- Formation energy: 0.10 eV/atom
- DFT total energy: -10.54 eV/f.u.

(5)
The following is a PBE-GGA calculation of an optimized crystal structure of Na16Cd12In, from Alexandria.

```
Na16Cd12In
1.0
9.538 -0.043 -3.323
-4.747 8.273 -3.323
0.009 0.015 10.016
Na Cd In
16 12 1
direct
0.357 0.357 0.344
0.999 0.999 0.000
0.997 0.997 0.646
0.310 0.310 0.715
0.680 0.415 0.007
0.590 0.279 0.592
0.000 0.684 0.408
0.999 0.648 0.002
0.714 0.319 0.309
0.407 0.998 0.684
0.998 0.407 0.684
0.319 0.714 0.309
0.648 0.999 0.002
0.684 0.000 0.408
0.279 0.590 0.592
0.415 0.680 0.007
0.813 0.813 0.187
0.640 0.640 0.823
0.359 0.183 0.995
0.820 0.635 0.634
0.182 0.999 0.359
0.367 0.002 0.184
0.179 0.811 0.819
0.811 0.179 0.819
0.002 0.367 0.184
0.999 0.182 0.359
0.635 0.820 0.634
0.183 0.359 0.995
0.615 0.615 0.302
```

- Formation energy: -0.09 eV/atom
- DFT total energy: -37.44 eV/f.u.

(6)
The following is a PBE-GGA calculation of an optimized crystal structure of TlSb2Pb8, from Alexandria.

```
TlSb2Pb8
1.0
4.761 -0.314 -0.539
-3.343 8.901 -4.471
0.293 -0.560 9.188
Tl Sb Pb
1 2 8
direct
0.500 0.000 0.000
0.647 0.647 0.295
0.353 0.353 0.705
0.257 0.306 0.235
0.021 0.071 0.765
0.750 0.350 0.000
0.723 0.223 0.445
0.277 0.777 0.555
0.250 0.650 0.000
0.979 0.929 0.235
0.743 0.694 0.765
```

- Raw formation energy: 88 meV per atom
- DFT total energy: -39.31 eV/f.u.

Question: DFT total energy of number 2 (Zr2SiPd8)?
Answer: -71.74 eV/f.u.